## NaPrFe (PBE)

Data for a relaxed NaPrFe crystal.

Calculated values
Electronic total energy = -4.023 eV per atom
M_tot = 1.90 μB/f.u.
Space-group type = F-43m, No. 216
Volume = 81 Å³ per cell

abc: 4.853 4.853 4.853
angles: 60.00 60.00 60.00
Each line ends with the local moment (μB).
Fractional positions:
Fe: 0.000 0.000 0.000  2.40
Na: 0.250 0.250 0.250  -0.01
Pr: 0.750 0.750 0.750  -0.27

---

## NaPrFeS3 (PBE)

Data for a relaxed NaPrFeS3 crystal.

Calculated values
Electronic total energy = -5.706 eV per atom
Excess energy over the best structure of this formula in the dataset = 0.00 eV per formula unit
M_tot = 4.00 μB/f.u.
Space-group type = Pnma, No. 62
Volume = 522 Å³ per cell

abc: 11.099 4.065 11.577
angles: 90.00 90.00 90.00
Each line ends with the local moment (μB).
Fractional positions:
Fe: 0.745 0.000 0.210  3.18
Fe: 0.245 0.000 0.290  3.21
Fe: 0.755 0.500 0.710  3.21
Fe: 0.255 0.500 0.790  3.18
Na: 0.161 0.000 0.011  0.00
Na: 0.661 0.000 0.489  0.00
Na: 0.339 0.500 0.511  0.00
Na: 0.839 0.500 0.989  0.00
Pr: 0.481 0.500 0.178  0.00
Pr: 0.981 0.500 0.322  0.00
Pr: 0.019 0.000 0.678  0.00
Pr: 0.519 0.000 0.822  0.00
S: 0.615 0.000 0.059  0.11
S: 0.940 0.000 0.149  0.12
S: 0.215 0.500 0.194  0.15
S: 0.715 0.500 0.306  0.15
S: 0.440 0.000 0.351  0.12
S: 0.115 0.000 0.441  0.11
S: 0.885 0.500 0.559  0.11
S: 0.560 0.500 0.649  0.12
S: 0.285 0.000 0.694  0.15
S: 0.785 0.000 0.806  0.15
S: 0.060 0.500 0.851  0.12
S: 0.385 0.500 0.941  0.11

---

## NaPrFeS3 (PBE)

Data for a relaxed NaPrFeS3 crystal.

Calculated values
Electronic total energy = -5.668 eV per atom
Excess energy over the best structure of this formula in the dataset = 0.23 eV per formula unit
M_tot = 4.00 μB/f.u.
Space-group type = Cmcm, No. 63
Volume = 280 Å³ per cell

abc: 4.024 6.643 10.998
angles: 90.00 90.00 72.37
Each line ends with the local moment (μB).
Fractional positions:
Fe: 0.527 0.946 0.250  3.19
Fe: 0.473 0.054 0.750  3.19
Na: 0.247 0.505 0.250  0.00
Na: 0.753 0.495 0.750  0.00
Pr: 0.000 0.000 0.000  0.00
Pr: 0.000 0.000 0.500  0.00
S: 0.638 0.724 0.087  0.12
S: 0.926 0.149 0.250  0.14
S: 0.638 0.724 0.413  0.12
S: 0.362 0.276 0.587  0.12
S: 0.074 0.851 0.750  0.14
S: 0.362 0.276 0.913  0.12

---

## NaPrFeS3 (PBE)

Data for a relaxed NaPrFeS3 crystal.

Calculated values
Electronic total energy = -5.688 eV per atom
Excess energy over the best structure of this formula in the dataset = 0.11 eV per formula unit
M_tot = 4.00 μB/f.u.
Space-group type = P2_1/m, No. 11
Volume = 295 Å³ per cell

abc: 8.012 3.986 9.432
angles: 90.00 101.21 90.00
Each line ends with the local moment (μB).
Fractional positions:
Fe: 0.929 0.750 0.412  3.23
Fe: 0.071 0.250 0.588  3.23
Na: 0.221 0.250 0.260  0.00
Na: 0.779 0.750 0.740  0.00
Pr: 0.682 0.250 0.147  0.03
Pr: 0.318 0.750 0.853  0.03
S: 0.432 0.750 0.155  0.02
S: 0.940 0.750 0.173  0.11
S: 0.788 0.250 0.467  0.20
S: 0.212 0.750 0.533  0.20
S: 0.060 0.250 0.827  0.11
S: 0.568 0.250 0.845  0.02

---

## NaPrFeSe3 (PBE)

Data for a relaxed NaPrFeSe3 crystal.

Calculated values
Electronic total energy = -5.257 eV per atom
Excess energy over the best structure of this formula in the dataset = 0.00 eV per formula unit
M_tot = 3.99 μB/f.u.
Space-group type = Pnma, No. 62
Volume = 651 Å³ per cell

abc: 13.837 4.104 11.464
angles: 90.00 90.00 90.00
Each line ends with the local moment (μB).
Fractional positions:
Fe: 0.993 0.750 0.078  3.23
Fe: 0.493 0.750 0.422  3.23
Fe: 0.507 0.250 0.578  3.23
Fe: 0.007 0.250 0.922  3.23
Na: 0.773 0.250 0.053  0.00
Na: 0.273 0.250 0.447  0.00
Na: 0.727 0.750 0.553  0.00
Na: 0.227 0.750 0.947  0.00
Pr: 0.487 0.250 0.161  0.03
Pr: 0.987 0.250 0.339  0.03
Pr: 0.013 0.750 0.661  0.03
Pr: 0.513 0.750 0.839  0.03
Se: 0.617 0.750 0.063  0.03
Se: 0.099 0.250 0.107  0.18
Se: 0.866 0.750 0.223  0.11
Se: 0.366 0.750 0.277  0.11
Se: 0.599 0.250 0.393  0.18
Se: 0.117 0.750 0.437  0.03
Se: 0.883 0.250 0.563  0.03
Se: 0.401 0.750 0.607  0.18
Se: 0.634 0.250 0.723  0.11
Se: 0.134 0.250 0.777  0.11
Se: 0.901 0.750 0.893  0.18
Se: 0.383 0.250 0.937  0.03

---

## NaPrFeSe3 (PBE)

Data for a relaxed NaPrFeSe3 crystal.

Calculated values
Electronic total energy = -5.239 eV per atom
Excess energy over the best structure of this formula in the dataset = 0.11 eV per formula unit
M_tot = 4.00 μB/f.u.
Space-group type = Pnma, No. 62
Volume = 626 Å³ per cell

abc: 11.274 4.165 13.338
angles: 90.00 90.00 90.00
Each line ends with the local moment (μB).
Fractional positions:
Fe: 0.735 0.750 0.221  3.23
Fe: 0.235 0.750 0.279  3.23
Fe: 0.765 0.250 0.721  3.23
Fe: 0.265 0.250 0.779  3.23
Na: 0.715 0.250 0.002  0.00
Na: 0.215 0.250 0.498  0.00
Na: 0.785 0.750 0.502  0.00
Na: 0.285 0.750 0.998  0.00
Pr: 0.986 0.250 0.237  0.00
Pr: 0.486 0.250 0.263  0.00
Pr: 0.514 0.750 0.737  0.00
Pr: 0.014 0.750 0.763  0.00
Se: 0.895 0.750 0.100  0.12
Se: 0.558 0.750 0.116  0.11
Se: 0.241 0.250 0.173  0.13
Se: 0.741 0.250 0.327  0.13
Se: 0.058 0.750 0.384  0.11
Se: 0.395 0.750 0.400  0.12
Se: 0.605 0.250 0.600  0.12
Se: 0.942 0.250 0.616  0.11
Se: 0.259 0.750 0.673  0.13
Se: 0.759 0.750 0.827  0.13
Se: 0.442 0.250 0.884  0.11
Se: 0.105 0.250 0.900  0.12

---

## NaPrFeSe3 (PBE)

Data for a relaxed NaPrFeSe3 crystal.

Calculated values
Electronic total energy = -5.252 eV per atom
Excess energy over the best structure of this formula in the dataset = 0.03 eV per formula unit
M_tot = 4.00 μB/f.u.
Space-group type = Pnma, No. 62
Volume = 591 Å³ per cell

abc: 4.226 11.508 12.157
angles: 90.00 90.00 90.00
Each line ends with the local moment (μB).
Fractional positions:
Fe: 0.750 0.747 0.214  3.20
Fe: 0.750 0.247 0.286  3.22
Fe: 0.250 0.753 0.714  3.22
Fe: 0.250 0.253 0.786  3.20
Na: 0.750 0.169 0.001  0.00
Na: 0.750 0.669 0.499  0.00
Na: 0.250 0.331 0.501  0.00
Na: 0.250 0.831 0.999  0.00
Pr: 0.250 0.481 0.180  0.01
Pr: 0.250 0.981 0.320  0.01
Pr: 0.750 0.019 0.680  0.01
Pr: 0.750 0.519 0.820  0.01
Se: 0.750 0.615 0.060  0.11
Se: 0.750 0.944 0.147  0.12
Se: 0.250 0.214 0.187  0.15
Se: 0.250 0.714 0.313  0.15
Se: 0.750 0.444 0.353  0.12
Se: 0.750 0.115 0.440  0.11
Se: 0.250 0.885 0.560  0.11
Se: 0.250 0.556 0.647  0.12
Se: 0.750 0.286 0.687  0.15
Se: 0.750 0.786 0.813  0.15
Se: 0.250 0.056 0.853  0.12
Se: 0.250 0.385 0.940  0.11

---

## NaPrFeSe3 (PBE)

Data for a relaxed NaPrFeSe3 crystal.

Calculated values
Electronic total energy = -5.217 eV per atom
Excess energy over the best structure of this formula in the dataset = 0.24 eV per formula unit
M_tot = 4.00 μB/f.u.
Space-group type = Pnma, No. 62
Volume = 582 Å³ per cell

abc: 8.328 4.223 16.537
angles: 90.00 90.00 90.00
Each line ends with the local moment (μB).
Fractional positions:
Fe: 0.625 0.250 0.139  3.19
Fe: 0.125 0.250 0.361  3.19
Fe: 0.875 0.750 0.639  3.19
Fe: 0.375 0.750 0.861  3.19
Na: 0.922 0.750 0.218  0.00
Na: 0.422 0.750 0.282  0.00
Na: 0.578 0.250 0.718  0.00
Na: 0.078 0.250 0.782  0.00
Pr: 0.249 0.250 0.047  0.03
Pr: 0.749 0.250 0.453  0.03
Pr: 0.251 0.750 0.547  0.03
Pr: 0.751 0.750 0.953  0.03
Se: 0.876 0.250 0.064  0.10
Se: 0.496 0.750 0.094  0.11
Se: 0.186 0.250 0.222  0.16
Se: 0.686 0.250 0.278  0.16
Se: 0.996 0.750 0.406  0.11
Se: 0.376 0.250 0.436  0.10
Se: 0.624 0.750 0.564  0.10
Se: 0.004 0.250 0.594  0.11
Se: 0.314 0.750 0.722  0.16
Se: 0.814 0.750 0.778  0.16
Se: 0.504 0.250 0.906  0.11
Se: 0.124 0.750 0.936  0.10

---

## NaPrFeSe3 (PBE)

Data for a relaxed NaPrFeSe3 crystal.

Calculated values
Electronic total energy = -5.130 eV per atom
Excess energy over the best structure of this formula in the dataset = 0.76 eV per formula unit
M_tot = 4.00 μB/f.u.
Space-group type = C2/m, No. 12
Volume = 305 Å³ per cell

abc: 9.582 9.582 8.055
angles: 105.05 105.05 25.37
Each line ends with the local moment (μB).
Fractional positions:
Fe: 0.474 0.474 0.282  3.32
Fe: 0.526 0.526 0.718  3.32
Na: 0.122 0.122 0.078  0.00
Na: 0.878 0.878 0.922  0.00
Pr: 0.828 0.828 0.400  0.02
Pr: 0.172 0.172 0.600  0.02
Se: 0.500 0.500 0.000  0.23
Se: 0.339 0.339 0.156  0.10
Se: 0.668 0.668 0.343  0.04
Se: 0.000 0.000 0.500  0.12
Se: 0.332 0.332 0.657  0.04
Se: 0.661 0.661 0.844  0.10

---

## NaPrFeSe3 (PBE)

Data for a relaxed NaPrFeSe3 crystal.

Calculated values
Electronic total energy = -5.239 eV per atom
Excess energy over the best structure of this formula in the dataset = 0.11 eV per formula unit
M_tot = 4.00 μB/f.u.
Space-group type = Cmcm, No. 63
Volume = 316 Å³ per cell

abc: 7.063 7.063 11.271
angles: 90.00 90.00 145.75
Each line ends with the local moment (μB).
Fractional positions:
Fe: 0.473 0.527 0.250  3.23
Fe: 0.527 0.473 0.750  3.23
Na: 0.755 0.245 0.250  0.00
Na: 0.245 0.755 0.750  0.00
Pr: 0.000 0.000 0.000  0.00
Pr: 0.000 0.000 0.500  0.00
Se: 0.360 0.640 0.083  0.11
Se: 0.079 0.921 0.250  0.13
Se: 0.360 0.640 0.417  0.11
Se: 0.640 0.360 0.583  0.11
Se: 0.921 0.079 0.750  0.13
Se: 0.640 0.360 0.917  0.11

---

## NaPrFeTe3 (PBE)

Data for a relaxed NaPrFeTe3 crystal.

Calculated values
Electronic total energy = -4.749 eV per atom
M_tot = 4.00 μB/f.u.
Space-group type = Cmcm, No. 63
Volume = 378 Å³ per cell

abc: 7.596 7.596 11.854
angles: 90.00 90.00 33.53
Each line ends with the local moment (μB).
Fractional positions:
Fe: 0.471 0.471 0.250  3.20
Fe: 0.529 0.529 0.750  3.18
Na: 0.759 0.759 0.250  0.00
Na: 0.241 0.241 0.750  0.00
Pr: 0.000 0.000 0.000  0.01
Pr: 0.000 0.000 0.500  0.01
Te: 0.357 0.357 0.079  0.10
Te: 0.082 0.082 0.250  0.11
Te: 0.357 0.357 0.421  0.10
Te: 0.643 0.643 0.579  0.10
Te: 0.918 0.918 0.750  0.11
Te: 0.643 0.643 0.921  0.10

---

## NaFe3S5 (PBE)

Data for a relaxed NaFe3S5 crystal.

Calculated values
Electronic total energy = -5.560 eV per atom
M_tot = 7.19 μB/f.u.
Space-group type = P6/mmm, No. 191
Volume = 169 Å³ per cell

abc: 5.459 5.459 6.531
angles: 90.00 90.00 120.00
Each line ends with the local moment (μB).
Fractional positions:
Fe: 0.500 0.000 0.500  2.21
Fe: 0.000 0.500 0.500  2.17
Fe: 0.500 0.500 0.500  2.22
Na: 0.000 0.000 0.000  0.00
S: 0.667 0.333 0.254  0.05
S: 0.333 0.667 0.254  0.05
S: 0.000 0.000 0.500  0.08
S: 0.667 0.333 0.746  0.05
S: 0.333 0.667 0.746  0.05